A relaxed structure of Rb2Tl5Sn4. Source: Alexandria via LeMat-Bulk, functional GGA-PBE.

abc: 14.2009 7.5100 10.1846
angles: 90.00 131.17 90.00
Space group C2/m (No. 12)
One atom of each set of equivalent atoms:
Rb 0.2166 0.0000 0.2974 (multiplicity 4)
Tl 0.0000 0.5000 0.0000 (multiplicity 2)
Tl 0.0119 0.2758 0.7090 (multiplicity 8)
Sn 0.1461 0.0000 0.6089 (multiplicity 4)
Sn 0.2301 0.0000 0.9571 (multiplicity 4)

Properties
Formation energy   -28 meV/atom


A relaxed structure of Ho2GeSe. Source: Alexandria via LeMat-Bulk, functional GGA-PBE.

abc: 4.0664 4.0664 21.1542
angles: 90.00 90.00 120.00
Space group R3m (No. 160, hexagonal axes)
One atom of each set of equivalent atoms:
Ho 0.0000 0.0000 0.0000 (multiplicity 3)
Ho 0.0000 0.0000 0.1809 (multiplicity 3)
Ge 0.0000 0.0000 0.5897 (multiplicity 3)
Se 0.0000 0.0000 0.7595 (multiplicity 3)

Properties
Formation energy from raw total energies   -1.2641 eV/atom
Distance to the lowest polymorph of the same formula   0.45 eV per formula unit


A relaxed structure of La2Tb2Pr5. Source: Alexandria via LeMat-Bulk, functional GGA-PBE.

abc: 15.2258 12.1604 6.9585
angles: 90.00 90.00 90.00
Space group Ima2 (No. 46)
One atom of each set of equivalent atoms:
La 0.0000 0.0000 0.0000 (multiplicity 4)
La 0.2500 0.0034 0.0641 (multiplicity 4)
Tb 0.1248 0.0038 0.5355 (multiplicity 8)
Pr 0.0541 0.7445 0.6888 (multiplicity 8)
Pr 0.1428 0.2318 0.8657 (multiplicity 8)
Pr 0.2500 0.7327 0.8901 (multiplicity 4)

Properties
Formation energy   184 meV/atom
Distance to the lowest polymorph of the same formula   1.51 eV per formula unit


- Number 2 is which compound?
  Ho2GeSe


Repeat the third record exactly.
A relaxed structure of La2Tb2Pr5. Source: Alexandria via LeMat-Bulk, functional GGA-PBE.

abc: 15.2258 12.1604 6.9585
angles: 90.00 90.00 90.00
Space group Ima2 (No. 46)
One atom of each set of equivalent atoms:
La 0.0000 0.0000 0.0000 (multiplicity 4)
La 0.2500 0.0034 0.0641 (multiplicity 4)
Tb 0.1248 0.0038 0.5355 (multiplicity 8)
Pr 0.0541 0.7445 0.6888 (multiplicity 8)
Pr 0.1428 0.2318 0.8657 (multiplicity 8)
Pr 0.2500 0.7327 0.8901 (multiplicity 4)

Properties
Formation energy   184 meV/atom
Distance to the lowest polymorph of the same formula   1.51 eV per formula unit